No. 1
This record from Alexandria via LeMat-Bulk describes a relaxed structure of Er3MgGa3. The functional is GGA-PBE.

Cell and atoms, written as extended XYZ:
```
14
Lattice="8.717 0.000 0.000 -4.358 7.549 0.000 0.000 0.000 4.936" Properties=species:S:1:pos:R:3 pbc="T T T"
Er -2.056 4.989 1.234
Er 1.066 3.274 1.234
Er 3.368 0.714 3.702
Er 0.990 6.835 1.234
Er 3.293 4.275 3.702
Er 6.414 2.560 3.702
Mg 0.000 5.033 3.702
Mg 4.358 2.516 1.234
Ga -3.227 6.261 3.702
Ga 0.550 1.624 3.702
Ga 1.682 0.336 1.234
Ga 2.677 7.213 3.702
Ga 3.808 5.925 1.234
Ga 7.585 1.289 1.234
```

Summary:
- energy relative to the elements (eV per atom) = -0.288
- density of states at the Fermi level (states/eV/f.u.) = 4.3
- space-group type = P6_3/m (176)
- size of the total moment (μB/cell) = 0.000


No. 2
This record from Alexandria via LeMat-Bulk describes a relaxed structure of HfFeNiSb. The functional is GGA-PBE.

Cell and atoms, written as extended XYZ:
```
4
Lattice="0.000 3.136 3.136 3.136 0.000 3.136 3.136 3.136 0.000" Properties=species:S:1:pos:R:3 pbc="T T T"
Hf 0.000 0.000 0.000
Fe 4.704 4.704 4.704
Ni 1.568 1.568 1.568
Sb 3.136 3.136 3.136
```

Summary:
- formation energy (no corrections) (eV per atom) = -0.241
- density of states at the Fermi level (states/eV/f.u.) = 3.2
- space-group type = F-43m (216)
- size of the total moment (μB/cell) = 1.241


No. 3
This record from Alexandria via LeMat-Bulk describes a relaxed structure of Ca2LaGeN. The functional is GGA-PBE.

Cell and atoms, written as extended XYZ:
```
5
Lattice="4.826 0.000 0.000 0.000 4.826 0.000 0.000 0.000 5.024" Properties=species:S:1:pos:R:3 pbc="T T T"
Ca 0.000 2.413 0.000
Ca 2.413 0.000 0.000
La 0.000 0.000 2.512
Ge 2.413 2.413 2.512
N 0.000 0.000 0.000
```

Summary:
- formation energy (no corrections) (eV per atom) = -0.921
- density of states at the Fermi level (states/eV/f.u.) = 0.3
- space-group type = P4/mmm (123)
- size of the total moment (μB/cell) = 0.000


No. 4
This record from Alexandria via LeMat-Bulk describes a relaxed structure of MgFe2TcC. The functional is GGA-PBE.

Cell and atoms, written as extended XYZ:
```
5
Lattice="3.900 0.000 0.000 0.000 3.900 0.000 0.000 0.000 4.081" Properties=species:S:1:pos:R:3 pbc="T T T"
Mg 0.000 0.000 0.000
Fe 0.000 1.950 2.040
Fe 1.950 0.000 2.040
Tc 1.950 1.950 0.000
C 1.950 1.950 2.040
```

Summary:
- energy relative to the elements (eV per atom) = 0.066
- density of states at the Fermi level (states/eV/f.u.) = 4.1
- space-group type = P4/mmm (123)
- size of the total moment (μB/cell) = 4.641


No. 5
This record from Alexandria via LeMat-Bulk describes a relaxed structure of Cs2ZrTe6Au2. The functional is GGA-PBE.

Cell and atoms, written as extended XYZ:
```
11
Lattice="7.025 -4.058 0.000 7.025 4.058 0.000 -4.688 0.000 7.778" Properties=species:S:1:pos:R:3 pbc="T T T"
Cs 2.338 0.000 1.804
Cs 7.025 0.000 5.974
Zr -2.344 0.000 3.889
Te 5.709 2.276 1.852
Te -0.288 0.000 5.926
Te 3.655 2.276 5.926
Te 5.709 -2.276 1.852
Te 9.651 0.000 1.852
Te 3.655 -2.276 5.926
Au 2.340 0.000 5.613
Au 7.023 0.000 2.165
```

Summary:
- formation energy (no corrections) (eV per atom) = -0.489
- density of states at the Fermi level (states/eV/f.u.) = 4.1
- space-group type = C2/m (12)
- size of the total moment (μB/cell) = 0.000


No. 6
This record from Alexandria via LeMat-Bulk describes a relaxed structure of Li2Mg5Ni2. The functional is GGA-PBE.

Cell and atoms, written as extended XYZ:
```
18
Lattice="8.492 -3.217 0.000 8.492 3.217 0.000 0.000 0.000 6.422" Properties=species:S:1:pos:R:3 pbc="T T T"
Li 4.002 0.000 0.000
Li 4.490 0.000 3.211
Li 12.494 0.000 3.211
Li 12.983 0.000 0.000
Mg 0.000 0.000 0.000
Mg 6.582 2.086 4.340
Mg 6.582 1.131 1.129
Mg 10.403 2.086 4.340
Mg 10.403 1.131 1.129
Mg 8.492 0.000 3.211
Mg 6.582 -1.131 5.293
Mg 6.582 -2.086 2.082
Mg 10.403 -1.131 5.293
Mg 10.403 -2.086 2.082
Ni 8.492 2.409 2.405
Ni 8.492 0.809 5.617
Ni 8.492 -0.809 0.806
Ni 8.492 -2.409 4.017
```

Summary:
- energy relative to the elements (eV per atom) = -0.042
- density of states at the Fermi level (states/eV/f.u.) = 5.2
- space-group type = Cmce (64)
- size of the total moment (μB/cell) = 0.000


Results for electronic total energy: -3.769; -7.321; -5.295; -7.556; -3.731; -2.638 (in eV/atom, following the order of the records).